A plane-wave DFT calculation with PBE was carried out for a geometry-optimized MnCrCuTeAu structure.

Values from the calculation:
Energy relative to the lowest polymorph listed for this composition (meV/atom): 37
ΔE_f (raw) (kJ/mol of formula units): 80
E (eV per atom): -5.70
Space group: P1 (1)

a = 3.959 Å, b = 4.597 Å, c = 5.674 Å
α = 98.13°, β = 90.04°, γ = 115.33°
Element x y z (fractional)
Mn1 0.000 0.000 0.000
Cr1 0.681 0.362 0.873
Cu1 0.315 0.630 0.175
Te1 0.632 0.263 0.360
Au1 0.357 0.715 0.699